DFT (PBE) results for La2BiAs2 after structural relaxation.

Unit cell a=8.2328 b=8.2328 c=4.1170 alpha=90.00 beta=90.00 gamma=90.00
With the nearest neighbours (Å) after each atom.
Space group P4/mbm (No. 127)
Unique sites:
La 0.1568 0.3432 0.0000  6 As 3.04-3.27
Bi 0.0000 0.0000 0.5000  4 As 3.13
As 0.1513 0.6513 0.5000  6 La 3.04-3.27, 2 Bi 3.13

Density of states at the Fermi level   5.71 states/eV/cell
Energy above the most stable polymorph in this dataset   0.0 kJ/mol of atoms

=====

DFT (PBE) results for Na7PO6 after structural relaxation.

Unit cell a=6.0447 b=10.8810 c=12.3167 alpha=90.00 beta=90.00 gamma=90.00
With the nearest neighbours (Å) after each atom.
Space group Ibam (No. 72)
Unique sites:
Na 0.0000 0.0000 0.2500  4 O 2.46
Na 0.1381 0.2701 0.1135  4 O 2.28-2.51
Na 0.2191 0.0353 0.0000  4 O 2.26-2.41
P 0.0000 0.5000 0.2500  4 O 1.57
O 0.0921 0.1604 0.5000  6 Na 2.26-2.32
O 0.1519 0.4149 0.3205  1 P 1.57

DFT total energy   -274.3 eV for the cell shown

=====

DFT (PBE) results for PrSm7Tm12 after structural relaxation.

Unit cell a=12.8089 b=12.8089 c=13.5672 alpha=90.00 beta=90.00 gamma=120.00
With the nearest neighbours (Å) after each atom.
Space group R-3 (No. 148, hexagonal axes)
Unique sites:
Pr 0.0000 0.0000 0.0000  6 Sm 3.09
Sm 0.0000 0.0000 0.5000  6 Tm 3.06
Sm 0.0681 0.2026 0.8472  1 Sm 3.04, 2 Tm 3.06-3.39, 1 Pr 3.09
Tm 0.0042 0.5681 0.2485  3 Tm 3.31-3.49, 3 Sm 3.39-3.58
Tm 0.0678 0.8661 0.3490  2 Sm 3.06, 2 Tm 3.07-3.31

Density of states at the Fermi level   52.22 states/eV/cell
Energy above the most stable polymorph in this dataset   0.0 kJ/mol of atoms

=====

DFT (PBE) results for Zn2CoTc after structural relaxation.

Unit cell a=3.1923 b=4.0755 c=8.2593 alpha=90.00 beta=90.00 gamma=90.00
With the nearest neighbours (Å) after each atom.
Space group Cmmm (No. 65)
Unique sites:
Zn 0.0000 0.0000 0.2352  4 Co 2.51-2.82, 4 Zn 2.59, 2 Tc 2.71
Co 0.0000 0.5000 0.0000  8 Zn 2.51-2.82, 4 Co 2.59
Tc 0.0000 0.5000 0.5000  4 Tc 2.59, 4 Zn 2.71

Density of states at the Fermi level   7.61 states/eV/cell
Energy above the most stable polymorph in this dataset   12.1 kJ/mol of atoms

=====

DFT (PBE) results for ZnNi2Se after structural relaxation.

Unit cell a=3.9765 b=3.9813 c=6.6985 alpha=90.00 beta=90.00 gamma=90.00
With the nearest neighbours (Å) after each atom.
Space group Immm (No. 71)
Unique sites:
Zn 0.0000 0.0000 0.0000  8 Ni 2.59-2.61, 4 Se 2.81
Ni 0.0000 0.5000 0.2471  4 Se 2.59-2.61, 4 Zn 2.59-2.61, 4 Ni 2.81
Se 0.0000 0.0000 0.5000  8 Ni 2.59-2.61, 4 Zn 2.81

Density of states at the Fermi level   5.15 states/eV/cell
Energy above the most stable polymorph in this dataset   11.2 kJ/mol of atoms

=====

DFT (PBE) results for Pm2Al4CuAg3 after structural relaxation.

Unit cell a=4.3462 b=4.3462 c=10.7031 alpha=90.00 beta=90.00 gamma=90.00
With the nearest neighbours (Å) after each atom.
Space group P-4m2 (No. 115)
Unique sites:
Pm 0.0000 0.5000 0.2424  8 Al 3.32-3.51, 6 Ag 3.33-3.38, 2 Cu 3.38
Al 0.0000 0.0000 0.5000  4 Ag 2.62
Al 0.0000 0.5000 0.8745  3 Ag 2.54-2.55, 2 Cu 2.55
Al 0.5000 0.5000 0.5000  4 Ag 2.62
Cu 0.5000 0.5000 0.0000  4 Al 2.55
Ag 0.0000 0.0000 0.0000  4 Al 2.55
Ag 0.0000 0.5000 0.6372  5 Al 2.54-2.62

Density of states at the Fermi level   5.35 states/eV/cell
DFT total energy   -40.5 eV for the cell shown

=====

DFT (PBE) results for LuPaInGa after structural relaxation.

Unit cell a=7.2896 b=7.2896 c=7.2896 alpha=90.00 beta=90.00 gamma=90.00
With the nearest neighbours (Å) after each atom.
Space group F-43m (No. 216)
Unique sites:
Lu 0.0000 0.0000 0.0000  4 In 3.16, 4 Ga 3.16
Pa 0.0000 0.0000 0.5000  4 Ga 3.16, 4 In 3.16
In 0.2500 0.2500 0.7500  4 Pa 3.16, 4 Lu 3.16
Ga 0.2500 0.2500 0.2500  4 Pa 3.16, 4 Lu 3.16

Density of states at the Fermi level   27.86 states/eV/cell
DFT total energy   -81.5 eV for the cell shown

=====

DFT (PBE) results for NpAlAuO6 after structural relaxation.

Unit cell a=5.2744 b=5.2744 c=9.4096 alpha=90.00 beta=90.00 gamma=120.00
With the nearest neighbours (Å) after each atom.
Space group P-31c (No. 163)
Unique sites:
Np 0.3333 0.6667 0.2500  6 O 2.04
Al 0.3333 0.6667 0.7500  6 O 1.93
Au 0.0000 0.0000 0.0000  6 O 2.31
O 0.0162 0.3691 0.6396  1 Al 1.93, 1 Np 2.04

Density of states at the Fermi level   9.55 states/eV/cell
DFT total energy   -132.9 eV for the cell shown

=====

DFT (PBE) results for Pr3Dy8Y after structural relaxation.

Unit cell a=10.1353 b=10.1745 c=8.0166 alpha=90.00 beta=108.41 gamma=90.00
With the nearest neighbours (Å) after each atom.
Space group Cm (No. 8)
Unique sites:
Pr 0.0000 0.0000 0.0000  9 Dy 3.57-3.61, 1 Y 3.61, 2 Pr 3.61
Pr 0.4168 0.2494 0.6645  9 Dy 3.58-3.60, 2 Y 3.58-3.60, 1 Pr 3.61
Dy 0.0012 0.5000 0.9996  9 Dy 3.56-3.60, 2 Pr 3.60, 1 Y 3.60
Dy 0.0829 0.2516 0.3288  8 Dy 3.55-3.61, 3 Pr 3.58-3.60, 1 Y 3.61
Dy 0.1658 0.5000 0.6628  7 Dy 3.57-3.62, 5 Pr 3.58-3.61
Dy 0.2511 0.2503 0.0015  7 Dy 3.55-3.62, 4 Pr 3.58-3.60, 1 Y 3.62
Dy 0.3322 0.5000 0.3306  8 Dy 3.56-3.61, 3 Pr 3.57-3.60, 1 Y 3.60
Dy 0.3344 0.0000 0.3300  8 Dy 3.56-3.61, 3 Pr 3.58-3.59, 1 Y 3.59
Y 0.1673 0.0000 0.6640  5 Pr 3.58-3.61, 7 Dy 3.59-3.62

Density of states at the Fermi level   32.53 states/eV/cell
DFT total energy   -114.8 eV for the cell shown

=====

DFT (PBE) results for Nd4YEr after structural relaxation.

Unit cell a=3.6428 b=5.1379 c=10.8620 alpha=90.00 beta=90.00 gamma=90.00
With the nearest neighbours (Å) after each atom.
Space group Pmmm (No. 47)
Unique sites:
Nd 0.0000 0.0000 0.1646  7 Nd 3.58-3.64, 4 Er 3.62, 1 Y 3.64
Nd 0.5000 0.5000 0.3326  1 Er 3.61, 7 Nd 3.64, 4 Y 3.64
Y 0.0000 0.0000 0.5000  10 Nd 3.64, 2 Y 3.64
Er 0.5000 0.5000 0.0000  10 Nd 3.61-3.62, 2 Er 3.64

Density of states at the Fermi level   8.95 states/eV/cell
Energy above the most stable polymorph in this dataset   0.0 kJ/mol of atoms

=====

DFT (PBE) results for Na3Cd4Ag after structural relaxation.

Unit cell a=3.2922 b=3.2922 c=17.8239 alpha=90.00 beta=90.00 gamma=90.00
With the nearest neighbours (Å) after each atom.
Space group P4/mmm (No. 123)
Unique sites:
Na 0.0000 0.0000 0.0000  4 Na 3.29, 8 Cd 3.31
Na 0.0000 0.0000 0.2649  8 Cd 3.29-3.32, 4 Na 3.29
Cd 0.5000 0.5000 0.1318  4 Cd 3.29, 8 Na 3.31-3.32
Cd 0.5000 0.5000 0.3951  4 Ag 2.99, 4 Na 3.29, 4 Cd 3.29
Ag 0.0000 0.0000 0.5000  8 Cd 2.99, 4 Ag 3.29

Density of states at the Fermi level   2.12 states/eV/cell
Energy above the most stable polymorph in this dataset   0.0 kJ/mol of atoms

=====

DFT (PBE) results for CsSc after structural relaxation.

Unit cell a=3.7332 b=4.7376 c=11.7789 alpha=90.00 beta=90.00 gamma=90.00
With the nearest neighbours (Å) after each atom.
Space group Pmmn (No. 59, origin choice 2)
Unique sites:
Cs 0.2500 0.2500 0.1984  2 Cs 3.73, 2 Sc 4.04
Sc 0.2500 0.7500 0.4761  4 Sc 3.07

Density of states at the Fermi level   5.55 states/eV/cell
DFT total energy   -12.0 eV for the cell shown

=====

| no. | M_tot (μB/f.u.) |
| --- | --- |
| 1 | 0.0 |
| 2 | 0.0 |
| 3 | 0.0 |
| 4 | 1.5 |
| 5 | 0.0 |
| 6 | 0.0 |
| 7 | 0.9 |
| 8 | 0.9 |
| 9 | 0.0 |
| 10 | 0.0 |
| 11 | 0.0 |
| 12 | 0.0 |